An optimized crystal structure of BaNbW2F. Source: Alexandria via LeMat-Bulk, functional PBE with a Hubbard U.

Geometry as POSCAR:
```
BaNbW2F
1.0
4.910 0.000 0.000
0.000 4.910 0.000
0.000 0.000 7.069
Ba Nb W F
1 1 2 1
direct
0.000 0.000 0.000
0.000 0.000 0.500
0.000 0.500 0.500
0.500 0.000 0.500
0.500 0.500 0.000
```

total energy	-4.5154	eV/atom
N(E_F)	0.59	states/eV/atom
spin magnetization	3.000	μB/f.u.